(1)
{"formula": "Ac5Cu2Rh5", "functional": "PBE", "state": "optimized geometry", "lattice": [[7.650, -2.099, 0.000], [7.650, 2.099, 0.000], [-7.299, 0.000, 9.138]], "species": ["Ac", "Ac", "Ac", "Ac", "Ac", "Cu", "Cu", "Rh", "Rh", "Rh", "Rh", "Rh"], "fractional_positions": [[0.000, 0.000, 0.000], [0.102, 0.102, 0.427], [0.204, 0.204, 0.831], [0.796, 0.796, 0.169], [0.898, 0.898, 0.573], [0.359, 0.359, 0.739], [0.641, 0.641, 0.261], [0.258, 0.258, 0.321], [0.432, 0.432, 0.145], [0.500, 0.500, 0.500], [0.568, 0.568, 0.855], [0.742, 0.742, 0.679]]}

(2)
{"formula": "AlHgW2", "functional": "PBE", "state": "optimized geometry", "lattice": [[4.871, 0.000, 0.000], [0.000, 4.871, 0.000], [0.000, 0.000, 2.832]], "species": ["Al", "Hg", "W", "W"], "fractional_positions": [[0.000, 0.000, 0.000], [0.500, 0.500, 0.000], [0.000, 0.500, 0.500], [0.500, 0.000, 0.500]]}

Number 1: energy relative to the elements -0.5063 eV/atom, uncorrected energy -5.964 eV per atom, DOS(E_F) 5.3 states/eV per cell. Number 2: energy relative to the elements 0.6764 eV/atom, uncorrected energy -6.811 eV per atom, DOS(E_F) 2.2 states/eV per cell.